Density functional theory data (PBE) for crystalline Na4SnIr3S8 at its relaxed geometry.

calculated total energy	-79.26	eV/cell
total magnetic moment	0.000	μB/atom
space group	R-3m (166)

a = 7.4368 Å, b = 7.7204 Å, c = 7.4369 Å
α = 118.81°, β = 120.00°, γ = 90.00°
With the nearest neighbours (Å) after each atom.
Fractional positions:
S  0.2935  0.3045  0.0489  2 Ir 2.42, 1 Sn 2.63
S  0.7555  0.3045  0.5109  2 Ir 2.42, 1 Sn 2.63
S  0.7065  0.6955  0.9511  2 Ir 2.42, 1 Sn 2.63
S  0.7554  0.3045  0.0489  2 Ir 2.42, 1 Sn 2.63
S  0.2718  0.3154  0.5436  3 Ir 2.45
S  0.2445  0.6955  0.4891  2 Ir 2.42, 1 Sn 2.63
S  0.7282  0.6846  0.4564  3 Ir 2.45
S  0.2446  0.6955  0.9511  2 Ir 2.42, 1 Sn 2.63
Na  0.5000  0.0000  0.5000  6 S 2.95-2.97
Na  0.0000  0.0000  0.5000  6 S 2.95-2.97
Na  0.5000  0.0000  0.0000  6 S 2.78
Na  0.0000  0.0000  0.0000  6 S 2.95-2.97
Ir  0.5000  0.5000  0.5000  6 S 2.42-2.45
Ir  0.0000  0.5000  0.5000  6 S 2.42-2.45
Ir  0.5000  0.5000  0.0000  6 S 2.42-2.45
Sn  0.0000  0.5000  0.0000  6 S 2.63